Entry 1:
! Li2TmCuP2, optimized geometry, DFT PBE; values from VASP
&SYSTEM
  ibrav = 0, nat = 6, ntyp = 4
/
ATOMIC_SPECIES
Li 6.94 Li.upf
Tm 168.93 Tm.upf
Cu 63.55 Cu.upf
P 30.97 P.upf
CELL_PARAMETERS angstrom
4.0430 0.0000 0.0000
-2.0215 3.5013 0.0000
0.0000 0.0000 6.3506
ATOMIC_POSITIONS crystal
Li 0.3333 0.6667 0.3531
Li 0.6667 0.3333 0.6469
Tm 0.0000 0.0000 0.0000
Cu 0.0000 0.0000 0.5000
P 0.3333 0.6667 0.7473
P 0.6667 0.3333 0.2527
! - Space group: P-3m1 (164)
! - Uncorrected energy: -4.567 eV per atom

---

Entry 2:
! Li2YCuP2, optimized geometry, DFT PBE; values from VASP
&SYSTEM
  ibrav = 0, nat = 6, ntyp = 4
/
ATOMIC_SPECIES
Li 6.94 Li.upf
Y 88.91 Y.upf
Cu 63.55 Cu.upf
P 30.97 P.upf
CELL_PARAMETERS angstrom
4.0655 0.0000 0.0000
-2.0328 3.5208 0.0000
0.0000 0.0000 6.4203
ATOMIC_POSITIONS crystal
Li 0.3333 0.6667 0.1452
Li 0.6667 0.3333 0.8548
Y 0.0000 0.0000 0.5000
Cu 0.0000 0.0000 0.0000
P 0.3333 0.6667 0.7567
P 0.6667 0.3333 0.2433
! - Space group: P-3m1 (164)
! - Uncorrected energy: -4.911 eV per atom